First-principles (PBE) data for crystalline K2BaZn2 at its relaxed geometry, as listed in the Alexandria database.

Properties
As for the crystal system: tetragonal. Its distance to the lowest polymorph of the same formula is 0.026 eV/atom. The total energy is -1.243 eV/atom. The calculated density comes out at 2.84 g cm⁻³.

a b c (Å): 5.097 5.097 15.567
angles (deg): 90.00 90.00 90.00
Space group I4/mmm (No. 139)
Symmetry-distinct sites (fractional):
K 0.000 0.500 0.250 (multiplicity 4)
Ba 0.000 0.000 0.000 (multiplicity 2)
Zn 0.000 0.000 0.418 (multiplicity 4)


First-principles (PBE) data for crystalline K2BaZn at its relaxed geometry, as listed in the Alexandria database.

Properties
As for the crystal system: cubic. Its distance to the lowest polymorph of the same formula is 0.290 eV/atom. The total energy is -1.048 eV/atom. The calculated density comes out at 2.42 g cm⁻³.

a b c (Å): 9.176 9.176 9.176
angles (deg): 90.00 90.00 90.00
Space group Fm-3m (No. 225)
Symmetry-distinct sites (fractional):
K 0.250 0.250 0.250 (multiplicity 8)
Ba 0.000 0.000 0.000 (multiplicity 4)
Zn 0.000 0.000 0.500 (multiplicity 4)


First-principles (PBE) data for crystalline KBa2Zn at its relaxed geometry, as listed in the Alexandria database.

Properties
As for the crystal system: orthorhombic. The total energy is -1.505 eV/atom. The calculated density comes out at 3.18 g cm⁻³.

a b c (Å): 4.219 6.121 15.339
angles (deg): 90.00 90.00 90.00
Space group Imm2 (No. 44)
Symmetry-distinct sites (fractional):
K 0.000 0.000 0.000 (multiplicity 2)
Ba 0.000 0.000 0.361 (multiplicity 2)
Ba 0.000 0.500 0.180 (multiplicity 2)
Zn 0.000 0.500 0.692 (multiplicity 2)


First-principles (PBE) data for crystalline KBa2Zn at its relaxed geometry, as listed in the Alexandria database.

Properties
As for the crystal system: monoclinic. The total energy is -1.633 eV/atom. The calculated density comes out at 3.17 g cm⁻³.

a b c (Å): 4.192 4.193 11.312
angles (deg): 90.00 90.13 90.00
Space group P2/m (No. 10)
Symmetry-distinct sites (fractional):
K 0.000 0.000 0.000 (multiplicity 1)
Ba 0.500 0.500 0.330 (multiplicity 2)
Zn 0.000 0.000 0.500 (multiplicity 1)


First-principles (PBE) data for crystalline K4BaZn at its relaxed geometry, as listed in the Alexandria database.

Properties
As for the crystal system: cubic. The total energy is -0.969 eV/atom. The calculated density comes out at 1.54 g cm⁻³.

a b c (Å): 11.567 11.567 11.567
angles (deg): 90.00 90.00 90.00
Space group F-43m (No. 216)
Symmetry-distinct sites (fractional):
K 0.125 0.125 0.125 (multiplicity 16)
Ba 0.250 0.250 0.750 (multiplicity 4)
Zn 0.000 0.000 0.500 (multiplicity 4)


First-principles (PBE) data for crystalline KBa2Zn at its relaxed geometry, as listed in the Alexandria database.

Properties
As for the crystal system: tetragonal. The total energy is -1.398 eV/atom. The calculated density comes out at 3.35 g cm⁻³.

a b c (Å): 6.217 6.217 4.858
angles (deg): 90.00 90.00 90.00
Space group P4/mmm (No. 123)
Symmetry-distinct sites (fractional):
K 0.000 0.000 0.000 (multiplicity 1)
Ba 0.000 0.500 0.500 (multiplicity 2)
Zn 0.500 0.500 0.000 (multiplicity 1)


First-principles (PBE) data for crystalline KBa2Zn at its relaxed geometry, as listed in the Alexandria database.

Properties
As for the crystal system: trigonal. The total energy is -1.542 eV/atom. The calculated density comes out at 2.72 g cm⁻³.

a b c (Å): 4.7437 4.7437 35.6764
angles (deg): 90.00 90.00 120.00
Space group R3m (No. 160, hexagonal axes)
Symmetry-distinct sites (fractional):
K 0.0000 0.0000 0.0000 (multiplicity 3)
Ba 0.0000 0.0000 0.2227 (multiplicity 3)
Ba 0.0000 0.0000 0.4450 (multiplicity 3)
Zn 0.0000 0.0000 0.8339 (multiplicity 3)


First-principles (PBE) data for crystalline K2BaZn at its relaxed geometry, as listed in the Alexandria database.

Properties
As for the crystal system: trigonal. Its distance to the lowest polymorph of the same formula is 0.186 eV/atom. The total energy is -1.152 eV/atom. The calculated density comes out at 2.11 g cm⁻³.

a b c (Å): 4.5198 4.5198 37.4961
angles (deg): 90.00 90.00 120.00
Space group R-3m (No. 166, hexagonal axes)
Symmetry-distinct sites (fractional):
K 0.0000 0.0000 0.2305 (multiplicity 6)
Ba 0.0000 0.0000 0.0000 (multiplicity 3)
Zn 0.0000 0.0000 0.5000 (multiplicity 3)


First-principles (PBE) data for crystalline KBa5Zn4 at its relaxed geometry, as listed in the Alexandria database.

Properties
As for the crystal system: tetragonal. The total energy is -1.704 eV/atom. The calculated density comes out at 4.04 g cm⁻³.

a b c (Å): 4.153 4.153 23.522
angles (deg): 90.00 90.00 90.00
Space group P4/mmm (No. 123)
Symmetry-distinct sites (fractional):
K 0.000 0.000 0.000 (multiplicity 1)
Ba 0.500 0.500 0.157 (multiplicity 2)
Ba 0.500 0.500 0.326 (multiplicity 2)
Ba 0.500 0.500 0.500 (multiplicity 1)
Zn 0.000 0.000 0.237 (multiplicity 2)
Zn 0.000 0.000 0.414 (multiplicity 2)


First-principles (PBE) data for crystalline K2BaZn at its relaxed geometry, as listed in the Alexandria database.

Properties
As for the crystal system: tetragonal. Its distance to the lowest polymorph of the same formula is 0.154 eV/atom. The total energy is -1.184 eV/atom. The calculated density comes out at 2.25 g cm⁻³.

a b c (Å): 4.342 4.342 11.003
angles (deg): 90.00 90.00 90.00
Space group P4/mmm (No. 123)
Symmetry-distinct sites (fractional):
K 0.000 0.000 0.184 (multiplicity 2)
Ba 0.500 0.500 0.500 (multiplicity 1)
Zn 0.500 0.500 0.000 (multiplicity 1)


First-principles (PBE) data for crystalline KBa4Zn at its relaxed geometry, as listed in the Alexandria database.

Properties
As for the crystal system: cubic. The total energy is -1.265 eV/atom. The calculated density comes out at 2.86 g cm⁻³.

a b c (Å): 11.491 11.491 11.491
angles (deg): 90.00 90.00 90.00
Space group F-43m (No. 216)
Symmetry-distinct sites (fractional):
K 0.000 0.000 0.000 (multiplicity 4)
Ba 0.125 0.125 0.375 (multiplicity 16)
Zn 0.250 0.250 0.750 (multiplicity 4)


First-principles (PBE) data for crystalline K2BaZn at its relaxed geometry, as listed in the Alexandria database.

Properties
As for the crystal system: tetragonal. Its distance to the lowest polymorph of the same formula is 0.193 eV/atom. The total energy is -1.145 eV/atom. The calculated density comes out at 2.32 g cm⁻³.

a b c (Å): 5.209 5.209 29.635
angles (deg): 90.00 90.00 90.00
Space group I-42d (No. 122)
Symmetry-distinct sites (fractional):
K 0.225 0.250 0.125 (multiplicity 8)
Ba 0.000 0.000 0.500 (multiplicity 4)
Zn 0.000 0.000 0.000 (multiplicity 4)


First-principles (PBE) data for crystalline K2BaZn at its relaxed geometry, as listed in the Alexandria database.

Properties
As for the crystal system: orthorhombic. Its distance to the lowest polymorph of the same formula is 0.253 eV/atom. The total energy is -1.085 eV/atom. The calculated density comes out at 2.15 g cm⁻³.

a b c (Å): 7.512 12.878 4.489
angles (deg): 90.00 90.00 90.00
Space group Cmmm (No. 65)
Symmetry-distinct sites (fractional):
K 0.250 0.250 0.000 (multiplicity 4)
Ba 0.000 0.000 0.500 (multiplicity 2)
Zn 0.000 0.500 0.500 (multiplicity 2)


First-principles (PBE) data for crystalline K2BaZn at its relaxed geometry, as listed in the Alexandria database.

Properties
As for the crystal system: orthorhombic. Its distance to the lowest polymorph of the same formula is 0.150 eV/atom. The total energy is -1.188 eV/atom. The calculated density comes out at 2.40 g cm⁻³.

a b c (Å): 5.288 5.314 6.930
angles (deg): 90.00 90.00 90.00
Space group Pmmm (No. 47)
Symmetry-distinct sites (fractional):
K 0.000 0.000 0.000 (multiplicity 1)
K 0.500 0.500 0.000 (multiplicity 1)
Ba 0.000 0.500 0.500 (multiplicity 1)
Zn 0.500 0.000 0.500 (multiplicity 1)


Number 1: calculated formation energy 91 meV/atom. Number 2: calculated formation energy 300 meV/atom. Number 3: calculated formation energy 49 meV/atom. Number 4: calculated formation energy -79 meV/atom. Number 5: calculated formation energy 295 meV/atom. Number 6: calculated formation energy 156 meV/atom. Number 7: calculated formation energy 12 meV/atom. Number 8: calculated formation energy 196 meV/atom. Number 9: calculated formation energy -123 meV/atom. Number 10: calculated formation energy 164 meV/atom. Number 11: calculated formation energy 412 meV/atom. Number 12: calculated formation energy 203 meV/atom. Number 13: calculated formation energy 263 meV/atom. Number 14: calculated formation energy 160 meV/atom.